Record 1
# DyHoMo2C3, optimized geometry, DFT GGA-PBE
# Total energy in eV per atom: -8.69
data_DyHoMo2C3
_cell_length_a 11.314
_cell_length_b 3.386
_cell_length_c 5.691
_cell_angle_alpha 90.00
_cell_angle_beta 107.89
_cell_angle_gamma 90.00
_space_group_name_H-M_alt 'C 1 m 1'
_space_group_IT_number 8
loop_
_space_group_symop_operation_xyz
'x,y,z'
'x,-y,z'
'x+1/2,y+1/2,z'
'x+1/2,-y+1/2,z'
loop_
_atom_site_label
_atom_site_type_symbol
_atom_site_fract_x
_atom_site_fract_y
_atom_site_fract_z
Dy1 Dy 0.000 0.000 0.000
Ho1 Ho 0.272 0.500 0.359
Mo1 Mo 0.036 0.500 0.553
Mo2 Mo 0.236 0.000 0.806
C1 C 0.116 0.000 0.437
C2 C 0.158 0.500 0.922
C3 C 0.386 0.000 0.678

=====

Record 2
# GdErFe2Si2, optimized geometry, DFT GGA-PBE
# Total energy in eV per atom: -6.75
data_GdErFe2Si2
_cell_length_a 4.030
_cell_length_b 4.030
_cell_length_c 6.480
_cell_angle_alpha 90.00
_cell_angle_beta 90.00
_cell_angle_gamma 90.00
_space_group_name_H-M_alt 'P 4 m m'
_space_group_IT_number 99
loop_
_space_group_symop_operation_xyz
'x,y,z'
'-y,x,z'
'-x,-y,z'
'y,-x,z'
'-x,y,z'
'y,x,z'
'x,-y,z'
'-y,-x,z'
loop_
_atom_site_label
_atom_site_type_symbol
_atom_site_fract_x
_atom_site_fract_y
_atom_site_fract_z
Gd1 Gd 0.000 0.000 0.000
Er1 Er 0.500 0.500 0.368
Fe1 Fe 0.000 0.500 0.676
Si1 Si 0.000 0.000 0.499
Si2 Si 0.500 0.500 0.857

=====

Q: Which value of total energy does entry 1 give?
A: -8.69 eV per atom